Record 1
DFT (PBE) results for a geometry-optimized NpTl2Cu2S4 structure.

Calculated values
uncorrected formation energy = -0.68 eV per atom
DOS(E_F) = 9.22 states/eV/f.u.
total DFT energy (no corrections) = -5.393 eV/atom

Geometry as CIF:
```
data_NpTl2Cu2S4
_chemical_formula_sum 'Np2 Tl4 Cu4 S8'
_space_group_name_H-M_alt 'C 1 2/m 1'
_space_group_IT_number 12
_cell_length_a 14.286
_cell_length_b 3.946
_cell_length_c 7.734
_cell_angle_alpha 90.00
_cell_angle_beta 108.93
_cell_angle_gamma 90.00
loop_
_space_group_symop_operation_xyz
'x,y,z'
'-x,-y,-z'
'-x,y,-z'
'x,-y,z'
'x+1/2,y+1/2,z'
'-x+1/2,-y+1/2,-z'
'-x+1/2,y+1/2,-z'
'x+1/2,-y+1/2,z'
loop_
_atom_site_label
_atom_site_type_symbol
_atom_site_fract_x
_atom_site_fract_y
_atom_site_fract_z
_atom_site_occupancy
Np1 Np 0.000 0.000 0.000 1
Tl1 Tl 0.139 0.000 0.575 1
Cu1 Cu 0.181 0.500 0.986 1
S1 S 0.022 0.500 0.776 1
S2 S 0.197 0.000 0.167 1
```

---

Record 2
DFT (PBE) results for a geometry-optimized Ca4GaGe3 structure.

Calculated values
energy relative to the elements = -5.113 eV/f.u.
DOS(E_F) = 2.34 states/eV/f.u.
total DFT energy (no corrections) = -3.750 eV/atom

Geometry as CIF:
```
data_Ca4GaGe3
_chemical_formula_sum 'Ca4 Ga1 Ge3'
_space_group_name_H-M_alt 'P m m 2'
_space_group_IT_number 25
_cell_length_a 4.115
_cell_length_b 4.530
_cell_length_c 10.920
_cell_angle_alpha 90.00
_cell_angle_beta 90.00
_cell_angle_gamma 90.00
loop_
_space_group_symop_operation_xyz
'x,y,z'
'-x,-y,z'
'-x,y,z'
'x,-y,z'
loop_
_atom_site_label
_atom_site_type_symbol
_atom_site_fract_x
_atom_site_fract_y
_atom_site_fract_z
_atom_site_occupancy
Ca1 Ca 0.000 0.000 0.000 1
Ca2 Ca 0.000 0.500 0.497 1
Ca3 Ca 0.500 0.000 0.724 1
Ca4 Ca 0.500 0.500 0.224 1
Ga1 Ga 0.000 0.500 0.789 1
Ge1 Ge 0.000 0.000 0.287 1
Ge2 Ge 0.500 0.000 0.435 1
Ge3 Ge 0.500 0.500 0.936 1
```

---

Record 3
DFT (PBE) results for a geometry-optimized Tb2Y2Si4Ir structure.

Calculated values
uncorrected formation energy = -0.38 eV per atom
DOS(E_F) = 8.60 states/eV/f.u.
total DFT energy (no corrections) = -6.240 eV/atom

Geometry as CIF:
```
data_Tb2Y2Si4Ir
_chemical_formula_sum 'Tb4 Y4 Si8 Ir2'
_space_group_name_H-M_alt 'I 4/m m m'
_space_group_IT_number 139
_space_group_name_Hall '-I 4 2'
_cell_length_a 6.832
_cell_length_b 6.832
_cell_length_c 8.598
_cell_angle_alpha 90.00
_cell_angle_beta 90.00
_cell_angle_gamma 90.00
loop_
_atom_site_label
_atom_site_type_symbol
_atom_site_fract_x
_atom_site_fract_y
_atom_site_fract_z
_atom_site_occupancy
Tb1 Tb 0.000 0.500 0.250 1
Y1 Y 0.000 0.000 0.189 1
Si1 Si 0.248 0.248 0.500 1
Ir1 Ir 0.000 0.000 0.500 1
```